# 1
# CeMn4P12 GGA-PBE optimized geometry
# M_tot (μB per formula unit): 3.98
# E_form (eV per atom): -0.5010
data_CeMn4P12
_cell_length_a 7.919
_cell_length_b 7.919
_cell_length_c 7.919
_cell_angle_alpha 90.00
_cell_angle_beta 90.00
_cell_angle_gamma 90.00
_space_group_name_H-M_alt 'I m -3'
_space_group_IT_number 204
_space_group_name_Hall '-I 2 2 3'
loop_
_atom_site_label
_atom_site_fract_x
_atom_site_fract_y
_atom_site_fract_z
_atom_site_occupancy
Ce1 0.000 0.000 0.000 1
Mn1 0.250 0.250 0.250 1
P1 0.000 0.352 0.148 1

# 2
# Ti3HgPd6 GGA-PBE optimized geometry
# M_tot (μB per formula unit): 0.00
# E_form (eV per atom): -0.3205
data_Ti3HgPd6
_cell_length_a 9.758
_cell_length_b 13.558
_cell_length_c 5.055
_cell_angle_alpha 90.00
_cell_angle_beta 90.00
_cell_angle_gamma 90.00
_space_group_name_H-M_alt 'C m c 21'
_space_group_IT_number 36
loop_
_space_group_symop_operation_xyz
'x,y,z'
'-x,-y,z+1/2'
'-x,y,z'
'x,-y,z+1/2'
'x+1/2,y+1/2,z'
'-x+1/2,-y+1/2,z+1/2'
'-x+1/2,y+1/2,z'
'x+1/2,-y+1/2,z+1/2'
loop_
_atom_site_label
_atom_site_fract_x
_atom_site_fract_y
_atom_site_fract_z
_atom_site_occupancy
Ti1 0.000 0.119 0.000 1
Ti2 0.194 0.402 0.334 1
Hg1 0.000 0.321 0.992 1
Pd1 0.000 0.231 0.496 1
Pd2 0.000 0.468 0.642 1
Pd3 0.141 0.045 0.467 1
Pd4 0.244 0.209 0.224 1

# 3
# MgTcOs2 GGA-PBE optimized geometry
# M_tot (μB per formula unit): 0.00
# E_form (eV per atom): 0.1671
data_MgTcOs2
_cell_length_a 9.973
_cell_length_b 2.806
_cell_length_c 4.727
_cell_angle_alpha 90.00
_cell_angle_beta 114.24
_cell_angle_gamma 90.00
_space_group_name_H-M_alt 'C 1 m 1'
_space_group_IT_number 8
loop_
_space_group_symop_operation_xyz
'x,y,z'
'x,-y,z'
'x+1/2,y+1/2,z'
'x+1/2,-y+1/2,z'
loop_
_atom_site_label
_atom_site_fract_x
_atom_site_fract_y
_atom_site_fract_z
_atom_site_occupancy
Mg1 0.000 0.000 0.000 1
Tc1 0.281 0.500 0.391 1
Os1 0.020 0.500 0.500 1
Os2 0.242 0.000 0.886 1

# 4
# Sc2SbP GGA-PBE optimized geometry
# M_tot (μB per formula unit): 0.00
# Energy relative to the elements, uncorrected (eV per atom): -1.085
data_Sc2SbP
_cell_length_a 3.974
_cell_length_b 3.974
_cell_length_c 5.628
_cell_angle_alpha 90.00
_cell_angle_beta 90.00
_cell_angle_gamma 90.00
_space_group_name_H-M_alt 'P 4/m m m'
_space_group_IT_number 123
_space_group_name_Hall '-P 4 2'
loop_
_atom_site_label
_atom_site_fract_x
_atom_site_fract_y
_atom_site_fract_z
_atom_site_occupancy
Sc1 0.000 0.000 0.000 1
Sc2 0.500 0.500 0.500 1
Sb1 0.000 0.000 0.500 1
P1 0.500 0.500 0.000 1